Model A:
A plane-wave DFT calculation with PBEsol was carried out for crystalline BeAs2Br at its relaxed geometry.

Total magnetization   0.000 μB per atom

Cell: 3.0784 4.3441 6.9598 Å, 108.18 102.78 90.00°
With the nearest neighbours (Å) after each atom.
Element x y z (fractional)
Be 0.5236 0.5236 0.0473  2 Br 2.23
As 0.9668 0.9668 0.9336  2 As 2.57, 4 Be 2.76
As 0.8607 0.3607 0.7213  2 As 2.57, 2 Be 2.60
Br 0.1489 0.6489 0.2978  2 Be 2.23

***

Model B:
A plane-wave DFT calculation with PBEsol was carried out for crystalline BeAs2Br at its relaxed geometry.

Total magnetization   0.000 μB per atom

Cell: 2.9789 4.9235 4.9235 Å, 90.00 90.00 90.00°
With the nearest neighbours (Å) after each atom.
Element x y z (fractional)
Be 0.5000 0.5000 0.5000  8 As 2.88, 2 Be 2.98
As 0.0000 0.0000 0.5000  4 Be 2.88, 4 Br 2.88, 2 As 2.98
As 0.0000 0.5000 0.0000  4 Be 2.88, 4 Br 2.88, 2 As 2.98
Br 0.5000 0.0000 0.0000  8 As 2.88, 2 Br 2.98

***

Which is the most stable structure? model A is the most stable.

***

Model A:
A plane-wave DFT calculation with PBEsol was carried out for crystalline Be2AsBr at its relaxed geometry.

Total magnetization   0.000 μB per atom

Cell: 5.2388 5.2388 6.4704 Å, 113.88 113.88 90.00°
With the nearest neighbours (Å) after each atom.
Element x y z (fractional)
Be 0.4138 0.8750 0.2500  2 As 2.17, 2 Br 2.40
Be 0.8362 0.3750 0.2500  2 As 2.17, 2 Br 2.40
Be 0.1250 0.1638 0.7500  2 As 2.17, 2 Br 2.40
Be 0.6250 0.5862 0.7500  2 As 2.17, 2 Br 2.40
As 0.7500 0.2500 0.5000  4 Be 2.17
As 0.5000 0.5000 0.0000  4 Be 2.17
Br 0.2500 0.7500 0.5000  4 Be 2.40
Br 0.0000 0.0000 0.0000  4 Be 2.40

***

Model B:
A plane-wave DFT calculation with PBEsol was carried out for crystalline Be2AsBr at its relaxed geometry.

Total magnetization   0.000 μB per atom

Cell: 2.8777 6.0011 6.0011 Å, 79.07 76.13 76.13°
With the nearest neighbours (Å) after each atom.
Element x y z (fractional)
Be 0.0221 0.9779 0.9779  2 As 2.27, 2 Be 2.40
Be 0.7403 0.7597 0.7597  2 Br 2.10
As 0.3231 0.1769 0.1769  2 Be 2.27
Br 0.4145 0.5855 0.5855  2 Be 2.10

***

Model C:
A plane-wave DFT calculation with PBEsol was carried out for crystalline Be2AsBr at its relaxed geometry.

Total magnetization   0.000 μB per atom

Cell: 4.5045 4.5045 4.5045 Å, 60.00 60.00 60.00°
With the nearest neighbours (Å) after each atom.
Element x y z (fractional)
Be 0.0000 0.0000 0.0000  4 Br 2.76, 4 Be 2.76
Be 0.2500 0.2500 0.2500  4 Be 2.76, 4 As 2.76
As 0.5000 0.5000 0.5000  4 Be 2.76, 4 Br 2.76
Br 0.7500 0.7500 0.7500  4 As 2.76, 4 Be 2.76

***

Model D:
A plane-wave DFT calculation with PBEsol was carried out for crystalline Be2AsBr at its relaxed geometry.

Total magnetization   0.000 μB per atom

Cell: 3.5835 3.6551 6.4250 Å, 93.01 90.00 119.35°
With the nearest neighbours (Å) after each atom.
Element x y z (fractional)
Be 0.0202 0.0405 0.8498  3 Be 2.19-2.28
Be 0.3653 0.7307 0.9639  3 Be 2.19-2.28, 3 As 2.21-2.26, 1 Br 2.34
As 0.7069 0.4137 0.0810  3 Be 2.21-2.26
Br 0.4076 0.8151 0.6053  3 Be 2.34-2.46

***

Which is the most stable structure? model A is the most stable.

***

Model A:
A plane-wave DFT calculation with PBEsol was carried out for crystalline BeAsSe2Br at its relaxed geometry.

Total magnetization   0.000 μB per atom

Cell: 4.9860 4.9860 5.0542 Å, 90.00 90.00 90.00°
With the nearest neighbours (Å) after each atom.
Element x y z (fractional)
Be 0.5000 0.5000 0.5000  4 Br 3.53, 8 Se 3.55
As 0.0000 0.0000 0.0000  4 Se 2.49, 2 Br 2.53
Se 0.0000 0.5000 0.0000  2 As 2.49
Se 0.5000 0.0000 0.0000  2 As 2.49
Br 0.0000 0.0000 0.5000  2 As 2.53

***

Model B:
A plane-wave DFT calculation with PBEsol was carried out for crystalline BeAsSe2Br at its relaxed geometry.

Total magnetization   0.000 μB per atom

Cell: 4.3617 4.3617 5.1463 Å, 90.00 90.00 90.00°
With the nearest neighbours (Å) after each atom.
Element x y z (fractional)
Be 0.0000 0.0000 0.0000  4 Se 2.18
As 0.0000 0.0000 0.5000  2 Be 2.57
Se 0.0000 0.5000 0.0000  2 Be 2.18
Se 0.5000 0.0000 0.0000  2 Be 2.18
Br 0.5000 0.5000 0.5000  4 As 3.08, 8 Se 3.37

***

Which is the most stable structure? model B is the most stable.

***

Model A:
A plane-wave DFT calculation with PBEsol was carried out for crystalline BeAs2Cl at its relaxed geometry.

Total magnetization   0.000 μB per atom

Cell: 2.7438 3.3266 7.5697 Å, 90.00 90.00 90.00°
With the nearest neighbours (Å) after each atom.
Element x y z (fractional)
Be 0.5000 0.5000 0.5000  8 As 2.53, 2 Be 2.74
As 0.0000 0.0000 0.6739  4 Be 2.53, 3 As 2.63-2.74
As 0.0000 0.0000 0.3261  4 Be 2.53, 3 As 2.63-2.74
Cl 0.5000 0.5000 0.0000  2 Cl 2.74

***

Model B:
A plane-wave DFT calculation with PBEsol was carried out for crystalline BeAs2Cl at its relaxed geometry.

Total magnetization   0.000 μB per atom

Cell: 3.5571 3.5571 6.7306 Å, 74.68 74.68 60.00°
With the nearest neighbours (Å) after each atom.
Element x y z (fractional)
Be 0.5000 0.5000 0.5000  6 As 2.33
As 0.2235 0.2235 0.3295  3 Be 2.33
As 0.7765 0.7765 0.6705  3 Be 2.33
Cl 0.0000 0.0000 0.0000  6 As 2.95

***

Which is the most stable structure? model B is the most stable.

***

Model A:
A plane-wave DFT calculation with PBEsol was carried out for crystalline BeAsF2 at its relaxed geometry.

Total magnetization   0.000 μB per atom

Cell: 5.1382 5.1382 5.1382 Å, 60.00 60.00 60.00°
With the nearest neighbours (Å) after each atom.
Element x y z (fractional)
Be 0.2500 0.2500 0.2500  4 F 1.57
Be 0.0000 0.0000 0.0000  4 F 1.57
As 0.7500 0.7500 0.7500  12 F 3.01, 4 As 3.15, 4 Be 3.15
As 0.5000 0.5000 0.5000  12 F 3.01, 4 Be 3.15, 4 As 3.15
F 0.1250 0.1250 0.6250  2 Be 1.57
F 0.1250 0.1250 0.1250  2 Be 1.57
F 0.6250 0.1250 0.1250  2 Be 1.57
F 0.1250 0.6250 0.1250  2 Be 1.57

***

Model B:
A plane-wave DFT calculation with PBEsol was carried out for crystalline BeAsF2 at its relaxed geometry.

Total magnetization   0.000 μB per atom

Cell: 4.0894 4.0894 4.0894 Å, 60.00 60.00 60.00°
With the nearest neighbours (Å) after each atom.
Element x y z (fractional)
Be 0.0000 0.0000 0.0000  8 F 2.50
As 0.5000 0.5000 0.5000  8 F 2.50
F 0.2500 0.2500 0.2500  4 Be 2.50, 4 As 2.50
F 0.7500 0.7500 0.7500  4 As 2.50, 4 Be 2.50

***

Which is the most stable structure? model A is the most stable.